A relaxed CeHo2Co crystal, computed with PBE.

Cell: 6.7721 9.4891 6.2743 Å, 90.00 90.00 90.00°
With the nearest neighbours (Å) after each atom.
Fractional coordinates of all 16 atoms:
Ce  0.0590  0.2500  0.1490  1 Co 2.30
Ce  0.4410  0.7500  0.6490  1 Co 2.30
Ce  0.5590  0.2500  0.3510  1 Co 2.30
Ce  0.9410  0.7500  0.8510  1 Co 2.30
Ho  0.1679  0.0673  0.6740  2 Co 2.88-2.92
Ho  0.1679  0.4327  0.6740  2 Co 2.88-2.92
Ho  0.3321  0.5673  0.1740  2 Co 2.88-2.92
Ho  0.3321  0.9327  0.1740  2 Co 2.88-2.92
Ho  0.6679  0.0673  0.8260  2 Co 2.88-2.92
Ho  0.6679  0.4327  0.8260  2 Co 2.88-2.92
Ho  0.8321  0.5673  0.3260  2 Co 2.88-2.92
Ho  0.8321  0.9327  0.3260  2 Co 2.88-2.92
Co  0.1374  0.7500  0.4845  1 Ce 2.30
Co  0.3626  0.2500  0.9845  1 Ce 2.30
Co  0.6374  0.7500  0.0155  1 Ce 2.30
Co  0.8626  0.2500  0.5155  1 Ce 2.30

Summary:
As for the volume: 25.20 Å³/atom. For the total energy, the calculation gives -5.73 eV per atom.

***

A relaxed Sr4LiTe4 crystal, computed with PBE.

Cell: 9.5334 9.5334 6.7786 Å, 90.00 90.00 90.00°
With the nearest neighbours (Å) after each atom.
Fractional coordinates of all 18 atoms:
Sr  0.0180  0.2500  0.0340  1 Li 3.20, 6 Te 3.33-3.47
Sr  0.2500  0.0180  0.5340  1 Li 3.20, 6 Te 3.33-3.47
Sr  0.2500  0.4820  0.5340  1 Li 3.20, 6 Te 3.33-3.47
Sr  0.4820  0.2500  0.0340  1 Li 3.20, 6 Te 3.33-3.47
Sr  0.5180  0.7500  0.9660  1 Li 3.20, 6 Te 3.33-3.47
Sr  0.7500  0.5180  0.4660  1 Li 3.20, 6 Te 3.33-3.47
Sr  0.7500  0.9820  0.4660  1 Li 3.20, 6 Te 3.33-3.47
Sr  0.9820  0.7500  0.9660  1 Li 3.20, 6 Te 3.33-3.47
Li  0.2500  0.7500  0.2500  4 Te 2.74
Li  0.7500  0.2500  0.7500  4 Te 2.74
Te  0.0114  0.7500  0.4766  1 Li 2.74
Te  0.2500  0.5114  0.0234  1 Li 2.74
Te  0.2500  0.9886  0.0234  1 Li 2.74
Te  0.4886  0.7500  0.4766  1 Li 2.74
Te  0.5114  0.2500  0.5234  1 Li 2.74
Te  0.7500  0.0114  0.9766  1 Li 2.74
Te  0.7500  0.4886  0.9766  1 Li 2.74
Te  0.9886  0.2500  0.5234  1 Li 2.74

Summary:
As for the volume: 34.23 Å³/atom. For the total energy, the calculation gives -3.83 eV per atom.

***

A relaxed ZnCrTe crystal, computed with PBE.

Cell: 3.1279 4.5499 9.8916 Å, 85.92 85.59 72.83°
With the nearest neighbours (Å) after each atom.
Fractional coordinates of all 6 atoms:
Zn  0.0000  0.0000  0.0000  6 Cr 2.56-2.81, 2 Zn 2.62-2.67, 1 Te 2.74
Zn  0.3960  0.0941  0.2102  2 Zn 2.62-2.67, 3 Cr 2.68-2.80, 2 Te 2.74-2.86
Cr  0.3014  0.4722  0.8861  2 Cr 2.51-2.60, 3 Zn 2.61-2.81
Cr  0.6979  0.5447  0.0871  2 Cr 2.51-2.60, 6 Zn 2.56-2.80
Te  0.0638  0.0405  0.7217  1 Zn 2.74, 3 Cr 2.89-3.05
Te  0.4903  0.5660  0.3721  2 Zn 2.74-2.86, 1 Cr 2.85

Summary:
As for the volume: 22.32 Å³/atom. For the total energy, the calculation gives -4.57 eV per atom.

***

A relaxed PuIn2AgO6 crystal, computed with PBE.

Cell: 6.0325 6.0325 6.0325 Å, 56.48 56.48 56.48°
With the nearest neighbours (Å) after each atom.
Fractional coordinates of all 10 atoms:
Pu  0.0000  0.0000  0.0000  6 O 2.16-2.18
In  0.2063  0.2063  0.2063  6 O 2.15-2.35
In  0.6916  0.6916  0.6916  6 O 2.18-2.27
Ag  0.4734  0.4734  0.4734  3 O 2.34
O  0.0530  0.8339  0.3957  1 Pu 2.16, 2 In 2.18-2.35, 1 Ag 2.34
O  0.2840  0.5984  0.9258  2 In 2.15-2.27, 1 Pu 2.18
O  0.3957  0.0530  0.8339  1 Pu 2.16, 2 In 2.18-2.35, 1 Ag 2.34
O  0.5984  0.9258  0.2840  2 In 2.15-2.27, 1 Pu 2.18
O  0.8339  0.3957  0.0530  1 Pu 2.16, 2 In 2.18-2.35, 1 Ag 2.34
O  0.9258  0.2840  0.5984  2 In 2.15-2.27, 1 Pu 2.18

Summary:
As for the volume: 14.26 Å³/atom. For the total energy, the calculation gives -6.87 eV per atom.

***

A relaxed SnPRhCl2 crystal, computed with PBE.

Cell: 4.8723 4.8723 4.6562 Å, 90.00 90.00 90.00°
With the nearest neighbours (Å) after each atom.
Fractional coordinates of all 5 atoms:
Sn  0.0000  0.0000  0.0000  8 Cl 3.37, 4 P 3.45
P  0.5000  0.5000  0.0000  2 Rh 2.33
Rh  0.5000  0.5000  0.5000  2 P 2.33, 4 Cl 2.44
Cl  0.0000  0.5000  0.5000  2 Rh 2.44
Cl  0.5000  0.0000  0.5000  2 Rh 2.44

Summary:
As for the volume: 22.11 Å³/atom. For the total energy, the calculation gives -4.10 eV per atom.

***

A relaxed Ba19Na4Au6 crystal, computed with PBE.

Cell: 12.5354 12.5354 12.5354 Å, 109.47 109.47 109.47°
With the nearest neighbours (Å) after each atom.
Fractional coordinates of all 29 atoms:
Ba  0.0000  0.0000  0.0000  4 Na 4.05
Ba  0.0000  0.3552  0.3552  2 Au 3.32
Ba  0.0000  0.6448  0.6448  2 Au 3.32
Ba  0.0171  0.6582  0.2459  2 Au 3.23-3.35
Ba  0.2288  0.6411  0.9829  2 Au 3.23-3.35
Ba  0.2459  0.0171  0.6582  2 Au 3.23-3.35
Ba  0.3418  0.3589  0.5877  2 Au 3.23-3.35
Ba  0.3552  0.0000  0.3552  2 Au 3.32
Ba  0.3552  0.3552  0.0000  2 Au 3.32
Ba  0.3589  0.5877  0.3418  2 Au 3.23-3.35
Ba  0.4123  0.7712  0.7541  2 Au 3.23-3.35
Ba  0.5877  0.3418  0.3589  2 Au 3.23-3.35
Ba  0.6411  0.9829  0.2288  2 Au 3.23-3.35
Ba  0.6448  0.0000  0.6448  2 Au 3.32
Ba  0.6448  0.6448  0.0000  2 Au 3.32
Ba  0.6582  0.2459  0.0171  2 Au 3.23-3.35
Ba  0.7541  0.4123  0.7712  2 Au 3.23-3.35
Ba  0.7712  0.7541  0.4123  2 Au 3.23-3.35
Ba  0.9829  0.2288  0.6411  2 Au 3.23-3.35
Na  0.0000  0.0000  0.3231  10 Ba 4.05-4.33
Na  0.0000  0.3231  0.0000  10 Ba 4.05-4.33
Na  0.3231  0.0000  0.0000  10 Ba 4.05-4.33
Na  0.6769  0.6769  0.6769  10 Ba 4.05-4.33
Au  0.1781  0.5000  0.6781  6 Ba 3.23-3.35
Au  0.3219  0.8219  0.5000  6 Ba 3.23-3.35
Au  0.5000  0.3219  0.8219  6 Ba 3.23-3.35
Au  0.5000  0.6781  0.1781  6 Ba 3.23-3.35
Au  0.6781  0.1781  0.5000  6 Ba 3.23-3.35
Au  0.8219  0.5000  0.3219  6 Ba 3.23-3.35

Summary:
As for the volume: 52.29 Å³/atom. For the total energy, the calculation gives -2.41 eV per atom.

***

A relaxed RbSr2MgSc crystal, computed with PBE.

Cell: 6.4960 6.4960 6.5073 Å, 90.00 90.00 90.00°
With the nearest neighbours (Å) after each atom.
Fractional coordinates of all 5 atoms:
Rb  0.0000  0.0000  0.0000  2 Mg 3.25
Sr  0.0000  0.5000  0.5000  2 Mg 3.25
Sr  0.5000  0.0000  0.5000  2 Mg 3.25
Mg  0.0000  0.0000  0.5000  4 Sr 3.25, 2 Rb 3.25
Sc  0.5000  0.5000  0.0000  4 Rb 4.59, 8 Sr 4.60

Summary:
As for the volume: 54.92 Å³/atom. For the total energy, the calculation gives -1.72 eV per atom.

***

A relaxed CsTc2O7 crystal, computed with PBE.

Cell: 9.2085 9.2085 3.8778 Å, 90.00 90.00 140.65°
With the nearest neighbours (Å) after each atom.
Fractional coordinates of all 10 atoms:
Cs  0.0000  0.0000  0.0000  16 O 3.58-3.69, 2 Cs 3.88
Tc  0.3908  0.6092  0.5000  3 O 1.73-1.89
Tc  0.6092  0.3908  0.5000  3 O 1.73-1.89
O  0.0982  0.4116  0.5000  1 Tc 1.73
O  0.3971  0.6029  0.0000  2 Tc 1.94
O  0.4116  0.0982  0.5000  1 Tc 1.73
O  0.5000  0.5000  0.5000  2 Tc 1.89
O  0.5884  0.9018  0.5000  1 Tc 1.73
O  0.6029  0.3971  0.0000  2 Tc 1.94
O  0.9018  0.5884  0.5000  1 Tc 1.73

Summary:
As for the volume: 20.85 Å³/atom. For the total energy, the calculation gives -6.94 eV per atom.

***

A relaxed LaPm12Sm6 crystal, computed with PBE.

Cell: 8.7270 8.7270 8.7270 Å, 89.07 89.07 89.07°
With the nearest neighbours (Å) after each atom.
Fractional coordinates of all 19 atoms:
La  0.0000  0.0000  0.0000  6 Sm 3.57, 6 Pm 3.62
Pm  0.0162  0.1986  0.3598  4 Pm 3.48-3.65, 4 Sm 3.57-3.74, 1 La 3.62
Pm  0.1986  0.3598  0.0162  4 Pm 3.48-3.65, 4 Sm 3.57-3.74, 1 La 3.62
Pm  0.2220  0.4626  0.5653  6 Pm 3.35-3.74, 3 Sm 3.39-3.50
Pm  0.3598  0.0162  0.1986  4 Pm 3.48-3.65, 4 Sm 3.57-3.74, 1 La 3.62
Pm  0.4347  0.7780  0.5374  6 Pm 3.35-3.74, 3 Sm 3.39-3.50
Pm  0.4626  0.5653  0.2220  6 Pm 3.35-3.74, 3 Sm 3.39-3.50
Pm  0.5374  0.4347  0.7780  6 Pm 3.35-3.74, 3 Sm 3.39-3.50
Pm  0.5653  0.2220  0.4626  6 Pm 3.35-3.74, 3 Sm 3.39-3.50
Pm  0.6402  0.9838  0.8014  4 Pm 3.48-3.65, 4 Sm 3.57-3.74, 1 La 3.62
Pm  0.7780  0.5374  0.4347  6 Pm 3.35-3.74, 3 Sm 3.39-3.50
Pm  0.8014  0.6402  0.9838  4 Pm 3.48-3.65, 4 Sm 3.57-3.74, 1 La 3.62
Pm  0.9838  0.8014  0.6402  4 Pm 3.48-3.65, 4 Sm 3.57-3.74, 1 La 3.62
Sm  0.0956  0.6954  0.2604  7 Pm 3.39-3.74, 1 La 3.57, 2 Sm 3.60
Sm  0.2604  0.0956  0.6954  7 Pm 3.39-3.74, 1 La 3.57, 2 Sm 3.60
Sm  0.3046  0.7396  0.9044  7 Pm 3.39-3.74, 1 La 3.57, 2 Sm 3.60
Sm  0.6954  0.2604  0.0956  7 Pm 3.39-3.74, 1 La 3.57, 2 Sm 3.60
Sm  0.7396  0.9044  0.3046  7 Pm 3.39-3.74, 1 La 3.57, 2 Sm 3.60
Sm  0.9044  0.3046  0.7396  7 Pm 3.39-3.74, 1 La 3.57, 2 Sm 3.60

Summary:
As for the volume: 34.97 Å³/atom. For the total energy, the calculation gives -4.62 eV per atom.

***

A relaxed Pa2Se3Cl crystal, computed with PBE.

Cell: 7.6241 7.6241 7.6241 Å, 61.37 61.37 61.37°
With the nearest neighbours (Å) after each atom.
Fractional coordinates of all 12 atoms:
Pa  0.1442  0.1442  0.1442  1 Cl 2.67, 3 Se 2.92
Pa  0.3558  0.3558  0.3558  1 Cl 2.67, 3 Se 2.92
Pa  0.6442  0.6442  0.6442  1 Cl 2.67, 3 Se 2.92
Pa  0.8558  0.8558  0.8558  1 Cl 2.67, 3 Se 2.92
Se  0.0285  0.7500  0.4715  4 Pa 2.92-3.05, 2 Cl 3.22
Se  0.2500  0.5285  0.9715  4 Pa 2.92-3.05, 2 Cl 3.22
Se  0.4715  0.0285  0.7500  4 Pa 2.92-3.05, 2 Cl 3.22
Se  0.5285  0.9715  0.2500  4 Pa 2.92-3.05, 2 Cl 3.22
Se  0.7500  0.4715  0.0285  4 Pa 2.92-3.05, 2 Cl 3.22
Se  0.9715  0.2500  0.5285  4 Pa 2.92-3.05, 2 Cl 3.22
Cl  0.0000  0.0000  0.0000  2 Pa 2.67
Cl  0.5000  0.5000  0.5000  2 Pa 2.67

Summary:
As for the volume: 26.92 Å³/atom. For the total energy, the calculation gives -6.48 eV per atom.

***

A relaxed GaFe3As crystal, computed with PBE.

Cell: 4.0464 4.0464 4.8628 Å, 90.00 90.00 120.00°
With the nearest neighbours (Å) after each atom.
Fractional coordinates of all 5 atoms:
Ga  0.0000  0.0000  0.0000  3 Fe 2.34
Fe  0.3333  0.6667  0.2514  5 Fe 2.42-2.64, 3 As 2.63, 3 Ga 2.64
Fe  0.3333  0.6667  0.7486  5 Fe 2.42-2.64, 3 As 2.63, 3 Ga 2.64
Fe  0.6667  0.3333  0.0000  3 Ga 2.34, 2 As 2.43
As  0.6667  0.3333  0.5000  8 Fe 2.43-2.63

Summary:
As for the volume: 13.79 Å³/atom. For the total energy, the calculation gives -6.72 eV per atom.

***

A relaxed Rb2Na4GaGe2 crystal, computed with PBE.

Cell: 8.2254 8.2254 5.3854 Å, 106.84 106.84 57.56°
With the nearest neighbours (Å) after each atom.
Fractional coordinates of all 9 atoms:
Rb  0.1350  0.1350  0.1548  6 Na 3.50-3.59, 2 Ge 3.66-3.75, 1 Rb 3.69
Rb  0.8650  0.8650  0.8452  6 Na 3.50-3.59, 2 Ge 3.66-3.75, 1 Rb 3.69
Na  0.1618  0.5656  0.3467  3 Ge 3.17-3.46, 1 Na 3.20, 1 Rb 3.50, 1 Ga 3.51
Na  0.4344  0.8382  0.6533  3 Ge 3.17-3.46, 1 Na 3.20, 1 Rb 3.50, 1 Ga 3.51
Na  0.5656  0.1618  0.3467  3 Ge 3.17-3.46, 1 Na 3.20, 1 Rb 3.50, 1 Ga 3.51
Na  0.8382  0.4344  0.6533  3 Ge 3.17-3.46, 1 Na 3.20, 1 Rb 3.50, 1 Ga 3.51
Ga  0.5000  0.5000  0.0000  2 Ge 2.43
Ge  0.3221  0.3221  0.8081  1 Ga 2.43
Ge  0.6779  0.6779  0.1919  1 Ga 2.43

Summary:
As for the volume: 32.25 Å³/atom. For the total energy, the calculation gives -2.19 eV per atom.

***

> Number 7 is which compound?

RbSr2MgSc